(1)
## La2CoPdO6 (PBE+U)

Data for an optimized crystal structure of La2CoPdO6.

Output
Fermi-level density of states in states/eV per cell: 3.203
Raw total energy in eV per atom: -7.045

Structure (CIF):
```
data_La2CoPdO6
_chemical_formula_sum 'La4 Co2 Pd2 O12'
_cell_length_a 5.5616
_cell_length_b 5.7081
_cell_length_c 7.8456
_cell_angle_alpha 90.00
_cell_angle_beta 89.91
_cell_angle_gamma 90.00
_symmetry_space_group_name_H-M 'P 1'
_symmetry_Int_Tables_number 1
_symmetry_space_group_name_Hall 'P 1'
loop_
_atom_site_label
_atom_site_type_symbol
_atom_site_fract_x
_atom_site_fract_y
_atom_site_fract_z
La1 La 0.4881 0.4460 0.2494
La2 La 0.9881 0.0540 0.7494
La3 La 0.5119 0.5540 0.7506
La4 La 0.0119 0.9460 0.2506
O1 O 0.7889 0.8019 0.9549
O2 O 0.7111 0.3019 0.5451
O3 O 0.3039 0.7128 0.0467
O4 O 0.4115 0.9775 0.7578
O5 O 0.2889 0.6981 0.4549
O6 O 0.5885 0.0225 0.2422
O7 O 0.0885 0.4775 0.7422
O8 O 0.1961 0.2128 0.4533
O9 O 0.2111 0.1981 0.0451
O10 O 0.6961 0.2872 0.9533
O11 O 0.8039 0.7872 0.5467
O12 O 0.9115 0.5225 0.2578
Co1 Co 0.5000 0.0000 0.0000
Co2 Co 0.0000 0.5000 0.5000
Pd1 Pd 0.5000 0.0000 0.5000
Pd2 Pd 0.0000 0.5000 0.0000
```

(2)
## La2CoPdO (PBE+U)

Data for an optimized crystal structure of La2CoPdO.

Output
Fermi-level density of states in states/eV per cell: 3.344
Raw total energy in eV per atom: -5.722

Structure (CIF):
```
data_La2CoPdO
_chemical_formula_sum 'La2 Co1 Pd1 O1'
_cell_length_a 4.9696
_cell_length_b 4.1118
_cell_length_c 4.9696
_cell_angle_alpha 90.00
_cell_angle_beta 90.00
_cell_angle_gamma 90.00
_symmetry_space_group_name_H-M 'P 1'
_symmetry_Int_Tables_number 1
_symmetry_space_group_name_Hall 'P 1'
loop_
_atom_site_label
_atom_site_type_symbol
_atom_site_fract_x
_atom_site_fract_y
_atom_site_fract_z
La1 La 0.5000 0.0000 0.0000
La2 La 0.0000 0.0000 0.5000
O1 O 0.0000 0.0000 0.0000
Pd1 Pd 0.0000 0.5000 0.0000
Co1 Co 0.5000 0.5000 0.5000
```

(3)
## LaPrCoO4 (PBE+U)

Data for an optimized crystal structure of LaPrCoO4.

Output
Fermi-level density of states in states/eV per cell: 0.542
Raw total energy in eV per atom: -7.540

Structure (CIF):
```
data_LaPrCoO4
_chemical_formula_sum 'La1 Pr1 Co1 O4'
_cell_length_a 3.7906
_cell_length_b 3.7906
_cell_length_c 6.9910
_cell_angle_alpha 105.73
_cell_angle_beta 105.73
_cell_angle_gamma 90.00
_symmetry_space_group_name_H-M 'P 1'
_symmetry_Int_Tables_number 1
_symmetry_space_group_name_Hall 'P 1'
loop_
_atom_site_label
_atom_site_type_symbol
_atom_site_fract_x
_atom_site_fract_y
_atom_site_fract_z
Pr1 Pr 0.3640 0.3640 0.7281
La1 La 0.6389 0.6389 0.2778
O1 O 0.1801 0.1801 0.3602
O2 O 0.4958 0.9958 0.9915
O3 O 0.9958 0.4958 0.9915
O4 O 0.8185 0.8185 0.6370
Co1 Co 0.0069 0.0069 0.0138
```

(4)
## La2CoPtO6 (PBE+U)

Data for an optimized crystal structure of La2CoPtO6.

Output
Fermi-level density of states in states/eV per cell: 0.000
Raw total energy in eV per atom: -7.236

Structure (CIF):
```
data_La2CoPtO6
_chemical_formula_sum 'La4 Co2 Pt2 O12'
_cell_length_a 5.5772
_cell_length_b 5.8377
_cell_length_c 7.9382
_cell_angle_alpha 90.00
_cell_angle_beta 89.99
_cell_angle_gamma 90.00
_symmetry_space_group_name_H-M 'P 1'
_symmetry_Int_Tables_number 1
_symmetry_space_group_name_Hall 'P 1'
loop_
_atom_site_label
_atom_site_type_symbol
_atom_site_fract_x
_atom_site_fract_y
_atom_site_fract_z
O1 O 0.9056 0.5300 0.2498
O2 O 0.0944 0.4700 0.7502
O3 O 0.3044 0.7068 0.4490
O4 O 0.7996 0.8014 0.5478
O5 O 0.6956 0.2932 0.5510
O6 O 0.1956 0.2068 0.0510
O7 O 0.7004 0.3014 0.9522
O8 O 0.8044 0.7932 0.9490
O9 O 0.2004 0.1986 0.4522
O10 O 0.5944 0.0300 0.2502
O11 O 0.2996 0.6986 0.0478
O12 O 0.4056 0.9700 0.7498
Pt1 Pt 0.0000 0.5000 0.0000
Pt2 Pt 0.5000 0.0000 0.5000
Co1 Co 0.5000 0.0000 0.0000
Co2 Co 0.0000 0.5000 0.5000
La1 La 0.9849 0.0571 0.7501
La2 La 0.0151 0.9429 0.2499
La3 La 0.4849 0.4429 0.2501
La4 La 0.5151 0.5571 0.7499
```

(5)
## LaPuCo2O8 (PBE+U)

Data for an optimized crystal structure of LaPuCo2O8.

Output
Fermi-level density of states in states/eV per cell: 8.465
Raw total energy in eV per atom: -7.551

Structure (CIF):
```
data_LaPuCo2O8
_chemical_formula_sum 'La1 Pu1 Co2 O8'
_cell_length_a 6.0329
_cell_length_b 6.0329
_cell_length_c 6.0329
_cell_angle_alpha 106.89
_cell_angle_beta 106.89
_cell_angle_gamma 114.77
_symmetry_space_group_name_H-M 'P 1'
_symmetry_Int_Tables_number 1
_symmetry_space_group_name_Hall 'P 1'
loop_
_atom_site_label
_atom_site_type_symbol
_atom_site_fract_x
_atom_site_fract_y
_atom_site_fract_z
O1 O 0.9465 0.6212 0.6747
O2 O 0.3788 0.0535 0.3253
O3 O 0.7281 0.0535 0.6747
O4 O 0.9465 0.2719 0.3253
O5 O 0.3280 0.5291 0.2011
O6 O 0.8731 0.6720 0.2011
O7 O 0.3280 0.1269 0.7989
O8 O 0.4709 0.6720 0.7989
Co1 Co 0.7500 0.2500 0.5000
Co2 Co 0.5000 0.5000 0.0000
Pu1 Pu 0.2500 0.7500 0.5000
La1 La 0.0000 0.0000 0.0000
```

(6)
## RbLa2CoO5 (PBE+U)

Data for an optimized crystal structure of RbLa2CoO5.

Output
Raw total energy in eV per atom: -6.929

Structure (CIF):
```
data_RbLa2CoO5
_chemical_formula_sum 'Rb2 La4 Co2 O10'
_cell_length_a 5.7715
_cell_length_b 6.9527
_cell_length_c 6.9527
_cell_angle_alpha 90.00
_cell_angle_beta 90.00
_cell_angle_gamma 90.00
_symmetry_space_group_name_H-M 'P 1'
_symmetry_Int_Tables_number 1
_symmetry_space_group_name_Hall 'P 1'
loop_
_atom_site_label
_atom_site_type_symbol
_atom_site_fract_x
_atom_site_fract_y
_atom_site_fract_z
O1 O 0.7637 0.3727 0.1273
O2 O 0.7637 0.8727 0.3727
O3 O 0.7637 0.6273 0.8727
O4 O 0.2363 0.6273 0.8727
O5 O 0.2363 0.8727 0.3727
O6 O 0.2363 0.3727 0.1273
O7 O 0.5000 0.0000 0.0000
O8 O 0.2363 0.1273 0.6273
O9 O 0.5000 0.5000 0.5000
O10 O 0.7637 0.1273 0.6273
La1 La 0.5000 0.3185 0.8185
La2 La 0.5000 0.8185 0.6815
La3 La 0.5000 0.1815 0.3185
La4 La 0.5000 0.6815 0.1815
Co1 Co 0.0000 0.0000 0.5000
Co2 Co 0.0000 0.5000 0.0000
Rb1 Rb 0.0000 0.0000 0.0000
Rb2 Rb 0.0000 0.5000 0.5000
```

(7)
## Rb3La3CoO8 (PBE+U)

Data for an optimized crystal structure of Rb3La3CoO8.

Output
Raw total energy in eV per atom: -6.305

Structure (CIF):
```
data_Rb3La3CoO8
_chemical_formula_sum 'Rb3 La3 Co1 O8'
_cell_length_a 7.1372
_cell_length_b 7.1377
_cell_length_c 7.7693
_cell_angle_alpha 117.35
_cell_angle_beta 90.00
_cell_angle_gamma 120.00
_symmetry_space_group_name_H-M 'P 1'
_symmetry_Int_Tables_number 1
_symmetry_space_group_name_Hall 'P 1'
loop_
_atom_site_label
_atom_site_type_symbol
_atom_site_fract_x
_atom_site_fract_y
_atom_site_fract_z
O1 O 0.7274 0.4548 0.6821
O2 O 0.1958 0.9651 0.6608
O3 O 0.1958 0.3917 0.6609
O4 O 0.2307 0.0349 0.3392
O5 O 0.7693 0.9651 0.6608
O6 O 0.8042 0.0349 0.3392
O7 O 0.8042 0.6083 0.3391
O8 O 0.2726 0.5452 0.3179
Rb1 Rb 0.0000 0.5000 0.0000
Rb2 Rb 0.0000 0.0000 0.0000
Rb3 Rb 0.5000 0.5000 0.0000
La1 La 0.5000 0.0000 0.5000
La2 La 0.0000 0.5000 0.5000
La3 La 0.5000 0.5000 0.5000
Co1 Co 0.0000 0.0000 0.5000
```

(8)
## La5CoRe3O16 (PBE+U)

Data for an optimized crystal structure of La5CoRe3O16.

Output
Fermi-level density of states in states/eV per cell: 6.887
Raw total energy in eV per atom: -8.371

Structure (CIF):
```
data_La5CoRe3O16
_chemical_formula_sum 'La5 Co1 Re3 O16'
_cell_length_a 5.6927
_cell_length_b 5.6931
_cell_length_c 10.2363
_cell_angle_alpha 86.43
_cell_angle_beta 93.60
_cell_angle_gamma 89.39
_symmetry_space_group_name_H-M 'P 1'
_symmetry_Int_Tables_number 1
_symmetry_space_group_name_Hall 'P 1'
loop_
_atom_site_label
_atom_site_type_symbol
_atom_site_fract_x
_atom_site_fract_y
_atom_site_fract_z
O1 O 0.2862 0.8196 0.9617
O2 O 0.0779 0.9258 0.1828
O3 O 0.2294 0.2956 0.6366
O4 O 0.4516 0.5463 0.1977
O5 O 0.6949 0.3106 0.5661
O6 O 0.2186 0.7748 0.6757
O7 O 0.3043 0.2215 0.3650
O8 O 0.5484 0.4537 0.8023
O9 O 0.7706 0.7044 0.3634
O10 O 0.6957 0.7785 0.6350
O11 O 0.9221 0.0742 0.8172
O12 O 0.7814 0.2252 0.3243
O13 O 0.8130 0.6979 0.9988
O14 O 0.3051 0.6894 0.4339
O15 O 0.1870 0.3021 0.0012
O16 O 0.7138 0.1804 0.0383
La1 La 0.0000 0.0000 0.5000
La2 La 0.9737 0.5135 0.8016
La3 La 0.0263 0.4865 0.1984
La4 La 0.5076 0.9677 0.2080
La5 La 0.4924 0.0323 0.7920
Re1 Re 0.4451 0.5542 0.6061
Re2 Re 0.0000 0.0000 0.0000
Re3 Re 0.5549 0.4458 0.3939
Co1 Co 0.5000 0.5000 0.0000
```